First-principles (PBE-GGA) data for crystalline CePrCdSn at its relaxed geometry, as listed in Alexandria via LeMat-Bulk.

a = 7.7275 Å, b = 7.7275 Å, c = 7.7275 Å
α = 90.00°, β = 90.00°, γ = 90.00°
Space group F-43m (No. 216)
One atom of each set of equivalent atoms:
Ce: 0.0000 0.0000 0.0000 [4 per cell]
Pr: 0.0000 0.0000 0.5000 [4 per cell]
Cd: 0.2500 0.2500 0.2500 [4 per cell]
Sn: 0.2500 0.2500 0.7500 [4 per cell]

## Properties
mass density	7.4	g cm⁻³
energy of formation	-42.9	kJ/mol of atoms
DFT total energy	-4.3524	eV per atom